(1)
First-principles (PBE) data for HoErGa2Cu2 after structural relaxation, as listed in the Alexandria database.

Cell lengths 4.3439, 4.3439, 6.9894 Å; angles 90.00, 90.00, 120.00 degrees
Atoms (fractional coordinates):
1 Ho 0.0000 0.0000 0.0000
2 Er 0.0000 0.0000 0.5000
3 Ga 0.3333 0.6667 0.2522
4 Ga 0.6667 0.3333 0.7478
5 Cu 0.3333 0.6667 0.7465
6 Cu 0.6667 0.3333 0.2535

(2)
First-principles (PBE) data for Ho2Er2Ga4Cu after structural relaxation, as listed in the Alexandria database.

Cell lengths 6.4694, 6.4694, 6.4694 Å; angles 115.72, 115.72, 97.59 degrees
Atoms (fractional coordinates):
1 Ho 0.1909 0.1909 0.0000
2 Ho 0.8091 0.8091 0.0000
3 Er 0.2500 0.7500 0.5000
4 Er 0.7500 0.2500 0.5000
5 Ga 0.2576 0.2576 0.5152
6 Ga 0.2576 0.7424 0.0000
7 Ga 0.7424 0.2576 0.0000
8 Ga 0.7424 0.7424 0.4848
9 Cu 0.5000 0.5000 0.0000

(3)
First-principles (PBE) data for ErGa4CuIr2 after structural relaxation, as listed in the Alexandria database.

Cell lengths 8.7234, 8.7234, 8.7234 Å; angles 28.28, 28.28, 28.28 degrees
Atoms (fractional coordinates):
1 Er 0.0000 0.0000 0.0000
2 Ga 0.1321 0.1321 0.1321
3 Ga 0.3971 0.3971 0.3971
4 Ga 0.6029 0.6029 0.6029
5 Ga 0.8679 0.8679 0.8679
6 Cu 0.5000 0.5000 0.5000
7 Ir 0.2381 0.2381 0.2381
8 Ir 0.7619 0.7619 0.7619

(4)
First-principles (PBE) data for ErGaCuIr after structural relaxation, as listed in the Alexandria database.

Cell lengths 4.5702, 4.5702, 4.5702 Å; angles 60.00, 60.00, 60.00 degrees
Atoms (fractional coordinates):
1 Er 0.0000 0.0000 0.0000
2 Ga 0.5000 0.5000 0.5000
3 Cu 0.2500 0.2500 0.2500
4 Ir 0.7500 0.7500 0.7500

(5)
First-principles (PBE) data for ErGa3CuIr after structural relaxation, as listed in the Alexandria database.

Cell lengths 6.6935, 6.6935, 5.9756 Å; angles 90.00, 90.00, 126.31 degrees
Atoms (fractional coordinates):
1 Er 0.2146 0.7854 0.7500
2 Er 0.7854 0.2146 0.2500
3 Ga 0.2110 0.2110 0.0000
4 Ga 0.2110 0.2110 0.5000
5 Ga 0.3449 0.6551 0.2500
6 Ga 0.6551 0.3449 0.7500
7 Ga 0.7890 0.7890 0.0000
8 Ga 0.7890 0.7890 0.5000
9 Cu 0.4415 0.5585 0.7500
10 Cu 0.5585 0.4415 0.2500
11 Ir 0.1389 0.8611 0.2500
12 Ir 0.8611 0.1389 0.7500

(6)
First-principles (PBE) data for LiErGa2Cu after structural relaxation, as listed in the Alexandria database.

Cell lengths 6.2458, 6.2458, 6.2458 Å; angles 142.80, 142.80, 53.63 degrees
Atoms (fractional coordinates):
1 Li 0.0000 0.0000 0.0000
2 Er 0.2500 0.7500 0.5000
3 Ga 0.6373 0.1373 0.5000
4 Ga 0.8627 0.3627 0.5000
5 Cu 0.5000 0.5000 0.0000

(7)
First-principles (PBE) data for LiEr2Ga3Cu4 after structural relaxation, as listed in the Alexandria database.

Cell lengths 4.0799, 4.0799, 10.2558 Å; angles 90.00, 90.00, 90.00 degrees
Atoms (fractional coordinates):
1 Li 0.0000 0.0000 0.0000
2 Er 0.0000 0.5000 0.7373
3 Er 0.5000 0.0000 0.2627
4 Ga 0.0000 0.5000 0.3683
5 Ga 0.5000 0.0000 0.6317
6 Ga 0.5000 0.5000 0.0000
7 Cu 0.0000 0.0000 0.5000
8 Cu 0.0000 0.5000 0.1369
9 Cu 0.5000 0.0000 0.8631
10 Cu 0.5000 0.5000 0.5000

(8)
First-principles (PBE) data for LiErGa2Cu2 after structural relaxation, as listed in the Alexandria database.

Cell lengths 4.2674, 4.2674, 6.3228 Å; angles 90.00, 90.00, 120.00 degrees
Atoms (fractional coordinates):
1 Li 0.0000 0.0000 0.0000
2 Er 0.0000 0.0000 0.5000
3 Ga 0.3333 0.6667 0.7936
4 Ga 0.6667 0.3333 0.2064
5 Cu 0.3333 0.6667 0.2125
6 Cu 0.6667 0.3333 0.7875

Computed E (eV per atom) in order:
-4.405, -4.153, -5.239, -5.578, -4.729, -3.697, -3.997, -3.833
Computed M_tot (μB per cell) in order:
0.00, 0.00, 0.00, 0.00, 0.00, 0.00, 0.00, 0.00